1.
Computed, not measured: a geometry-optimized RbZnPdS3 structure at the GGA-PBE level of DFT.

## Properties
symmetry: Cmcm, No. 63
total DFT energy (no corrections): -46.962 eV/cell

```
RbZnPdS3
1.0
-7.1154 0.6971 1.8729
5.6717 -4.1611 -2.2669
2.3927 -2.1208 9.8797
Rb S Pd Zn
2 6 2 2
direct
0.7443 0.2557 0.7500
0.2557 0.7443 0.2500
0.6052 0.3948 0.4550
0.9433 0.0567 0.2500
0.6052 0.3948 0.0450
0.0567 0.9433 0.7500
0.3948 0.6052 0.5450
0.3948 0.6052 0.9550
0.0000 0.0000 0.5000
0.0000 0.0000 0.0000
0.5359 0.4641 0.2500
0.4641 0.5359 0.7500
```


2.
Computed, not measured: a geometry-optimized RbZrPdS3 structure at the GGA-PBE level of DFT.

## Properties
symmetry: Pnma, No. 62
total DFT energy (no corrections): -136.907 eV/cell

```
RbZrPdS3
1.0
14.9589 0.0000 0.0000
0.0000 3.7826 0.0000
0.0000 0.0000 10.2755
S Rb Pd Zr
12 4 4 4
direct
0.9148 0.7500 0.5677
0.8751 0.2500 0.2639
0.6249 0.7500 0.7639
0.0852 0.2500 0.4323
0.5917 0.7500 0.3617
0.1249 0.7500 0.7361
0.4148 0.7500 0.9323
0.0917 0.7500 0.1383
0.9083 0.2500 0.8617
0.5852 0.2500 0.0677
0.4083 0.2500 0.6383
0.3751 0.2500 0.2361
0.7365 0.2500 0.5434
0.2635 0.7500 0.4566
0.7635 0.7500 0.0434
0.2365 0.2500 0.9566
0.5010 0.2500 0.4021
0.9990 0.7500 0.9021
0.4990 0.7500 0.5979
0.0010 0.2500 0.0979
0.9832 0.7500 0.3311
0.5168 0.2500 0.8311
0.0168 0.2500 0.6689
0.4832 0.7500 0.1689
```


3.
Computed, not measured: a geometry-optimized RbZrPdS3 structure at the GGA-PBE level of DFT.

## Properties
symmetry: P2_1/m, No. 11
total DFT energy (no corrections): -68.432 eV/cell

```
RbZrPdS3
1.0
-3.9591 1.6563 -7.3789
1.3530 -3.2255 -1.4499
-5.6281 -5.1337 6.1688
S Pd Zr Rb
6 2 2 2
direct
0.4607 0.2500 0.1316
0.7457 0.7500 0.4361
0.8852 0.2500 0.1454
0.1148 0.7500 0.8546
0.5393 0.7500 0.8684
0.2543 0.2500 0.5639
0.8965 0.2500 0.4061
0.1035 0.7500 0.5939
0.3130 0.2500 0.8410
0.6870 0.7500 0.1590
0.2386 0.7500 0.2655
0.7614 0.2500 0.7345
```


4.
Computed, not measured: a geometry-optimized Rb2Sb2Pd3 structure at the GGA-PBE level of DFT.

## Properties
symmetry: C2/m, No. 12
total DFT energy (no corrections): -28.751 eV/cell

```
Rb2Sb2Pd3
1.0
6.6544 -2.1462 0.0000
6.6544 2.1462 0.0000
-4.5437 0.0000 7.0289
Pd Sb Rb
3 2 2
direct
0.6704 0.6704 0.4078
0.3296 0.3296 0.5922
0.5000 0.5000 0.0000
0.1467 0.1467 0.2121
0.8533 0.8533 0.7879
0.1176 0.1176 0.7524
0.8824 0.8824 0.2476
```


Which formula does entry 1 have? RbZnPdS3


The lowest total DFT energy (no corrections) belongs to which entry? number 2